This record from the Open Quantum Materials Database describes a geometry-optimized NdPtF3 structure. The functional is PBE.

Properties
Uncorrected energy (eV per cell): -57.497
Crystal system: orthorhombic
Calculated density (g/cm3): 9.7

a = 6.7889 Å, b = 6.7889 Å, c = 4.9017 Å
α = 90.00°, β = 90.00°, γ = 143.22°
With the nearest neighbours (Å) after each atom.
Element x y z (fractional)
F 0.4260 0.5740 0.7500  2 Pt 2.22
F 0.7982 0.2018 0.0121  3 Nd 2.29-2.52, 3 F 2.33-2.48
F 0.2018 0.7982 0.9879  3 Nd 2.29-2.52, 3 F 2.33-2.48
F 0.7982 0.2018 0.4879  3 Nd 2.29-2.52, 3 F 2.33-2.48
F 0.5740 0.4260 0.2500  2 Pt 2.22
F 0.2018 0.7982 0.5121  3 Nd 2.29-2.52, 3 F 2.33-2.48
Nd 0.3485 0.6515 0.2500  6 F 2.29-2.52
Nd 0.6515 0.3485 0.7500  6 F 2.29-2.52
Pt 0.9702 0.0298 0.7500  2 F 2.22
Pt 0.0298 0.9702 0.2500  2 F 2.22